DFT (PBE) results for a relaxed structure of Tl2CrSn.

a = 5.2697 Å, b = 5.2697 Å, c = 5.2697 Å
α = 60.00°, β = 60.00°, γ = 60.00°
Each line ends with the local moment (μB).
Sites, in units of the cell vectors:
1 Tl 0.7500 0.7500 0.7500  -0.01
2 Cr 0.0000 0.0000 0.0000  3.98
3 Sn 0.5000 0.5000 0.5000  -0.10
4 Tl 0.2500 0.2500 0.2500  -0.01

Summary:
DOS at the Fermi energy = 0.35 states/eV per atom
relative energy among the computed polymorphs = 0 meV/atom
energy of formation from the pure elements = 449 meV per atom
space-group type = Fm-3m (225)
DFT total energy = -4.14 eV per atom

***

DFT (PBE) results for a relaxed structure of TlCr2Sn2.

a = 8.2771 Å, b = 8.2771 Å, c = 3.1691 Å
α = 90.00°, β = 90.00°, γ = 90.00°
Each line ends with the local moment (μB).
Sites, in units of the cell vectors:
1 Sn 0.3367 0.1633 0.5000  -0.18
2 Tl 0.5000 0.5000 0.0000  0.01
3 Cr 0.8681 0.6319 0.0000  3.31
4 Sn 0.1633 0.6633 0.5000  -0.19
5 Cr 0.1319 0.3681 0.0000  3.31
6 Cr 0.3681 0.8681 0.0000  3.31
7 Sn 0.6633 0.8367 0.5000  -0.19
8 Cr 0.6319 0.1319 0.0000  3.31
9 Tl 0.0000 0.0000 0.0000  0.01
10 Sn 0.8367 0.3367 0.5000  -0.19

Summary:
DOS at the Fermi energy = 0.70 states/eV per atom
relative energy among the computed polymorphs = 9 meV/atom
energy of formation from the pure elements = 357 meV per atom
space-group type = P4/mbm (127)
DFT total energy = -5.57 eV per atom

***

DFT (PBE) results for a relaxed structure of YTl2CrSn.

a = 5.1638 Å, b = 5.0898 Å, c = 5.1638 Å
α = 90.00°, β = 90.00°, γ = 90.00°
Each line ends with the local moment (μB).
Sites, in units of the cell vectors:
1 Y 0.5000 0.5000 0.5000  0.01
2 Cr 0.0000 0.0000 0.0000  2.22
3 Tl 0.5000 0.0000 0.0000  -0.04
4 Sn 0.0000 0.5000 0.0000  -0.06
5 Tl 0.0000 0.0000 0.5000  -0.01

Summary:
DOS at the Fermi energy = 0.78 states/eV per atom
energy of formation from the pure elements = 281 meV per atom
space-group type = P4/mmm (123)
DFT total energy = -4.68 eV per atom

***

DFT (PBE) results for a relaxed structure of UCrSn.

a = 5.4384 Å, b = 6.5260 Å, c = 6.7383 Å
α = 90.00°, β = 90.00°, γ = 90.00°
Each line ends with the local moment (μB).
Sites, in units of the cell vectors:
1 U 0.5469 0.5728 0.0303  0.56
2 U 0.5469 0.4272 0.5303  0.56
3 Cr 0.8904 0.2578 0.2119  -0.11
4 Sn 0.5697 0.1107 0.9139  0.00
5 Cr 0.8904 0.7422 0.7119  -0.11
6 Cr 0.3904 0.7422 0.7881  -0.11
7 Sn 0.0697 0.1107 0.5861  0.00
8 Sn 0.5697 0.8893 0.4139  0.00
9 Cr 0.3904 0.2578 0.2881  -0.11
10 Sn 0.0697 0.8893 0.0861  0.00
11 U 0.0469 0.5728 0.4697  0.56
12 U 0.0469 0.4272 0.9697  0.56

Summary:
DOS at the Fermi energy = 1.45 states/eV per atom
energy of formation from the pure elements = 105 meV per atom
space-group type = Pca2_1 (29)
DFT total energy = -8.20 eV per atom

***

DFT (PBE) results for a relaxed structure of VCr2Sn4.

a = 5.1060 Å, b = 5.1060 Å, c = 7.6525 Å
α = 70.51°, β = 70.51°, γ = 90.00°
Each line ends with the local moment (μB).
Sites, in units of the cell vectors:
1 Sn 0.5000 0.0000 0.0000  -0.06
2 Cr 0.3929 0.3929 0.2141  3.64
3 V 0.0000 0.0000 0.0000  0.65
4 Cr 0.6071 0.6071 0.7859  3.64
5 Sn 0.8069 0.8069 0.3861  -0.07
6 Sn 0.0000 0.5000 0.0000  -0.06
7 Sn 0.1931 0.1931 0.6139  -0.07

Summary:
DOS at the Fermi energy = 0.64 states/eV per atom
energy of formation from the pure elements = 551 meV per atom
space-group type = I4/mmm (139)
DFT total energy = -5.79 eV per atom

***

DFT (PBE) results for a relaxed structure of VCr4Sn.

a = 4.8458 Å, b = 4.8458 Å, c = 4.8458 Å
α = 60.00°, β = 60.00°, γ = 60.00°
Sites, in units of the cell vectors:
1 Sn 0.0000 0.0000 0.0000
2 Cr 0.6247 0.6247 0.1258
3 Cr 0.1258 0.6247 0.6247
4 Cr 0.6247 0.1258 0.6247
5 Cr 0.6247 0.6247 0.6247
6 V 0.2500 0.2500 0.2500

Summary:
DOS at the Fermi energy = 0.45 states/eV per atom
energy of formation from the pure elements = 90 meV per atom
space-group type = F-43m (216)
DFT total energy = -8.51 eV per atom

***

DFT (PBE) results for a relaxed structure of V2CrSn.

a = 4.1062 Å, b = 3.8238 Å, c = 3.8238 Å
α = 90.00°, β = 90.00°, γ = 90.00°
Each line ends with the local moment (μB).
Sites, in units of the cell vectors:
1 V 0.0000 0.5000 0.0000  -0.42
2 V 0.0000 0.0000 0.5000  -0.42
3 Cr 0.5000 0.5000 0.5000  1.43
4 Sn 0.5000 0.0000 0.0000  -0.01

Summary:
DOS at the Fermi energy = 0.89 states/eV per atom
energy of formation from the pure elements = 121 meV per atom
space-group type = P4/mmm (123)
DFT total energy = -7.85 eV per atom

***

DFT (PBE) results for a relaxed structure of VCr3Sn.

a = 4.4019 Å, b = 4.4019 Å, c = 4.4019 Å
α = 90.00°, β = 90.00°, γ = 90.00°
Each line ends with the local moment (μB).
Sites, in units of the cell vectors:
1 Sn 0.5000 0.5000 0.5000  -0.16
2 V 0.0000 0.0000 0.0000  -0.93
3 Cr 0.0000 0.0000 0.5000  1.97
4 Cr 0.0000 0.5000 0.0000  1.97
5 Cr 0.5000 0.0000 0.0000  1.97

Summary:
DOS at the Fermi energy = 1.02 states/eV per atom
relative energy among the computed polymorphs = 0 meV/atom
energy of formation from the pure elements = 1047 meV per atom
space-group type = Pm-3m (221)
DFT total energy = -7.35 eV per atom

***

DFT (PBE) results for a relaxed structure of V2CrSn.

a = 7.0087 Å, b = 7.0087 Å, c = 5.6091 Å
α = 51.34°, β = 51.34°, γ = 90.00°
Sites, in units of the cell vectors:
1 Cr 0.5000 0.5000 0.0000
2 V 0.3750 0.4339 0.7500
3 Sn 0.7500 0.2500 0.5000
4 V 0.1839 0.6250 0.2500
5 Sn 0.0000 0.0000 0.0000
6 V 0.5661 0.1250 0.2500
7 V 0.8750 0.8161 0.7500
8 Cr 0.2500 0.7500 0.5000

Summary:
DOS at the Fermi energy = 1.03 states/eV per atom
energy of formation from the pure elements = 514 meV per atom
space-group type = I-42d (122)
DFT total energy = -7.45 eV per atom

***

DFT (PBE) results for a relaxed structure of VCrSn2.

a = 3.1479 Å, b = 3.1479 Å, c = 10.0484 Å
α = 80.99°, β = 80.99°, γ = 60.00°
Each line ends with the local moment (μB).
Sites, in units of the cell vectors:
1 Sn 0.9069 0.9069 0.2793  -0.02
2 Sn 0.0931 0.0931 0.7207  -0.02
3 Cr 0.0000 0.0000 0.0000  3.74
4 V 0.5000 0.5000 0.5000  0.39

Summary:
DOS at the Fermi energy = 0.69 states/eV per atom
relative energy among the computed polymorphs = 225 meV/atom
energy of formation from the pure elements = 572 meV per atom
space-group type = R-3m (166)
DFT total energy = -6.12 eV per atom

***

DFT (PBE) results for a relaxed structure of V2CrSn.

a = 3.2286 Å, b = 3.2286 Å, c = 5.7412 Å
α = 90.00°, β = 90.00°, γ = 90.00°
Sites, in units of the cell vectors:
1 V 0.0000 0.0000 0.7929
2 Cr 0.5000 0.5000 0.0000
3 V 0.0000 0.0000 0.2071
4 Sn 0.5000 0.5000 0.5000

Summary:
DOS at the Fermi energy = 0.90 states/eV per atom
energy of formation from the pure elements = 64 meV per atom
space-group type = P4/mmm (123)
DFT total energy = -7.90 eV per atom

***

DFT (PBE) results for a relaxed structure of VCrSn3.

a = 5.0292 Å, b = 5.0292 Å, c = 5.0292 Å
α = 90.00°, β = 90.00°, γ = 90.00°
Each line ends with the local moment (μB).
Sites, in units of the cell vectors:
1 Cr 0.0000 0.0000 0.0000  1.79
2 V 0.5000 0.5000 0.5000  3.08
3 Sn 0.5000 0.0000 0.0000  -0.06
4 Sn 0.0000 0.5000 0.0000  -0.06
5 Sn 0.0000 0.0000 0.5000  -0.06

Summary:
DOS at the Fermi energy = 1.83 states/eV per atom
relative energy among the computed polymorphs = 102 meV/atom
energy of formation from the pure elements = 721 meV per atom
space-group type = Pm-3m (221)
DFT total energy = -5.43 eV per atom

***

DFT (PBE) results for a relaxed structure of VCrSn2.

a = 7.4983 Å, b = 7.4983 Å, c = 6.0791 Å
α = 51.92°, β = 51.92°, γ = 90.00°
Each line ends with the local moment (μB).
Sites, in units of the cell vectors:
1 V 0.5000 0.5000 0.0000  -2.03
2 Sn 0.1217 0.6250 0.2500  -0.02
3 V 0.2500 0.7500 0.5000  -2.03
4 Sn 0.8750 0.8783 0.7500  -0.02
5 Sn 0.6283 0.1250 0.2500  -0.02
6 Cr 0.7500 0.2500 0.5000  3.25
7 Sn 0.3750 0.3717 0.7500  -0.02
8 Cr 0.0000 0.0000 0.0000  3.25

Summary:
DOS at the Fermi energy = 1.19 states/eV per atom
relative energy among the computed polymorphs = 217 meV/atom
energy of formation from the pure elements = 565 meV per atom
space-group type = I-42d (122)
DFT total energy = -6.12 eV per atom

***

DFT (PBE) results for a relaxed structure of VCr3Sn.

a = 5.1238 Å, b = 5.1238 Å, c = 5.1238 Å
α = 90.00°, β = 90.00°, γ = 90.00°
Each line ends with the local moment (μB).
Sites, in units of the cell vectors:
1 Cr 0.0000 0.5000 0.0000  3.83
2 Cr 0.5000 0.0000 0.0000  3.83
3 Cr 0.0000 0.0000 0.5000  3.83
4 Sn 0.0000 0.0000 0.0000  -0.16
5 V 0.5000 0.5000 0.5000  3.01

Summary:
DOS at the Fermi energy = 0.59 states/eV per atom
relative energy among the computed polymorphs = 762 meV/atom
energy of formation from the pure elements = 1809 meV per atom
space-group type = Pm-3m (221)
DFT total energy = -6.59 eV per atom

***

DFT (PBE) results for a relaxed structure of VCrSn3.

a = 5.1299 Å, b = 5.1299 Å, c = 5.1299 Å
α = 90.00°, β = 90.00°, γ = 90.00°
Each line ends with the local moment (μB).
Sites, in units of the cell vectors:
1 V 0.0000 0.0000 0.0000  0.85
2 Sn 0.0000 0.0000 0.5000  0.00
3 Sn 0.0000 0.5000 0.0000  0.00
4 Cr 0.5000 0.5000 0.5000  4.24
5 Sn 0.5000 0.0000 0.0000  0.00

Summary:
DOS at the Fermi energy = 0.89 states/eV per atom
relative energy among the computed polymorphs = 0 meV/atom
energy of formation from the pure elements = 620 meV per atom
space-group type = Pm-3m (221)
DFT total energy = -5.53 eV per atom

***

DFT (PBE) results for a relaxed structure of VCrSn2.

a = 4.6878 Å, b = 4.6878 Å, c = 4.6878 Å
α = 60.00°, β = 60.00°, γ = 60.00°
Each line ends with the local moment (μB).
Sites, in units of the cell vectors:
1 Sn 0.7500 0.7500 0.7500  -0.03
2 V 0.0000 0.0000 0.0000  1.51
3 Sn 0.2500 0.2500 0.2500  -0.03
4 Cr 0.5000 0.5000 0.5000  2.79

Summary:
DOS at the Fermi energy = 1.09 states/eV per atom
relative energy among the computed polymorphs = 0 meV/atom
energy of formation from the pure elements = 347 meV per atom
space-group type = Fm-3m (225)
DFT total energy = -6.34 eV per atom

***

DFT (PBE) results for a relaxed structure of YV2CrSn.

a = 4.3780 Å, b = 5.3022 Å, c = 4.3780 Å
α = 90.00°, β = 90.00°, γ = 90.00°
Sites, in units of the cell vectors:
1 V 0.0000 0.0000 0.5000
2 V 0.5000 0.0000 0.0000
3 Cr 0.0000 0.0000 0.0000
4 Y 0.0000 0.5000 0.0000
5 Sn 0.5000 0.5000 0.5000

Summary:
DOS at the Fermi energy = 1.12 states/eV per atom
energy of formation from the pure elements = 613 meV per atom
space-group type = P4/mmm (123)
DFT total energy = -7.05 eV per atom

***

DFT (PBE) results for a relaxed structure of ZrVCrSn2.

a = 5.4491 Å, b = 4.5849 Å, c = 5.4491 Å
α = 90.00°, β = 90.00°, γ = 90.00°
Each line ends with the local moment (μB).
Sites, in units of the cell vectors:
1 V 0.0000 0.5000 0.0000  1.74
2 Cr 0.5000 0.5000 0.5000  -0.43
3 Sn 0.5000 0.0000 0.0000  -0.03
4 Zr 0.0000 0.0000 0.0000  0.05
5 Sn 0.0000 0.0000 0.5000  -0.03

Summary:
DOS at the Fermi energy = 2.73 states/eV per atom
energy of formation from the pure elements = 1657 meV per atom
space-group type = P4/mmm (123)
DFT total energy = -5.40 eV per atom

***

DFT (PBE) results for a relaxed structure of CrSn2W2.

a = 3.6241 Å, b = 3.6241 Å, c = 8.5976 Å
α = 77.83°, β = 77.83°, γ = 90.00°
Each line ends with the local moment (μB).
Sites, in units of the cell vectors:
1 W 0.2500 0.7500 0.5000  0.05
2 W 0.7500 0.2500 0.5000  0.05
3 Sn 0.6072 0.6072 0.7856  -0.08
4 Cr 0.0000 0.0000 0.0000  3.74
5 Sn 0.3928 0.3928 0.2144  -0.08

Summary:
DOS at the Fermi energy = 0.99 states/eV per atom
relative energy among the computed polymorphs = 14 meV/atom
energy of formation from the pure elements = 831 meV per atom
space-group type = I4/mmm (139)
DFT total energy = -7.88 eV per atom

***

DFT (PBE) results for a relaxed structure of Cr3SnW.

a = 4.7186 Å, b = 4.7186 Å, c = 4.7186 Å
α = 90.00°, β = 90.00°, γ = 90.00°
Each line ends with the local moment (μB).
Sites, in units of the cell vectors:
1 Cr 0.0000 0.0000 0.5000  2.54
2 Cr 0.5000 0.0000 0.0000  3.20
3 Cr 0.0000 0.5000 0.0000  2.77
4 W 0.0000 0.0000 0.0000  -0.91
5 Sn 0.5000 0.5000 0.5000  -0.12

Summary:
DOS at the Fermi energy = 0.95 states/eV per atom
relative energy among the computed polymorphs = 0 meV/atom
energy of formation from the pure elements = 1362 meV per atom
space-group type = Pm-3m (221)
DFT total energy = -7.80 eV per atom